Crystalline Np2Fe3B12Ir at its relaxed geometry. Source: Alexandria, functional PBE-GGA.

Cell and atoms, written as extended XYZ:
```
18
Lattice="2.745 1.585 7.425 -2.745 1.585 7.425 0.000 -3.169 7.425" Properties=species:S:1:pos:R:3 pbc="T T T"
Np 0.000 0.000 3.111
Np 0.000 0.000 19.165
Fe -1.372 -0.792 7.425
Fe -1.372 0.792 14.851
Fe 0.000 1.585 7.425
B 0.000 -1.029 5.824
B -0.891 0.515 5.824
B -1.111 -0.641 9.497
B 0.000 -1.283 12.779
B -1.111 0.641 12.779
B 0.891 0.515 5.824
B -0.891 -0.515 16.452
B 1.111 -0.641 9.497
B 0.000 1.283 9.497
B 1.111 0.641 12.779
B 0.891 -0.515 16.452
B 0.000 1.029 16.452
Ir 0.000 0.000 11.138
```

Output
energy of formation from the pure elements	94	meV/atom
SG	R-3m, No. 166
theoretical density	8.26	g cm⁻³
Fermi-level density of states	13.11	states/eV per cell

Crystalline FeBIrOs2 at its relaxed geometry. Source: Alexandria, functional PBE-GGA.

Cell and atoms, written as extended XYZ:
```
5
Lattice="4.031 0.000 0.000 0.000 4.031 0.000 0.000 0.000 4.020" Properties=species:S:1:pos:R:3 pbc="T T T"
Fe 0.000 0.000 0.000
B 2.016 2.016 2.010
Ir 2.016 2.016 0.000
Os 0.000 2.016 2.010
Os 2.016 0.000 2.010
```

Output
energy of formation from the pure elements	503	meV/atom
SG	P4/mmm, No. 123
theoretical density	16.25	g cm⁻³
Fermi-level density of states	7.13	states/eV per cell

Crystalline FeBPIr2 at its relaxed geometry. Source: Alexandria, functional PBE-GGA.

Cell and atoms, written as extended XYZ:
```
5
Lattice="4.537 0.000 0.000 0.000 4.537 0.000 0.000 0.000 3.587" Properties=species:S:1:pos:R:3 pbc="T T T"
Fe 0.000 0.000 0.000
B 2.269 2.269 0.000
P 2.269 2.269 1.794
Ir 0.000 2.269 1.794
Ir 2.269 0.000 1.794
```

Output
energy of formation from the pure elements	1004	meV/atom
SG	P4/mmm, No. 123
theoretical density	10.84	g cm⁻³
Fermi-level density of states	6.69	states/eV per cell

Crystalline PaFeB2Ir2 at its relaxed geometry. Source: Alexandria, functional PBE-GGA.

Cell and atoms, written as extended XYZ:
```
6
Lattice="-1.922 1.922 5.743 1.922 -1.922 5.743 1.922 1.922 -5.743" Properties=species:S:1:pos:R:3 pbc="T T T"
Pa 0.000 0.000 0.000
Fe 0.000 0.000 5.743
B 0.000 0.000 3.773
B 0.000 0.000 7.713
Ir 1.922 0.000 2.872
Ir 0.000 1.922 2.872
```

Output
energy of formation from the pure elements	-318	meV/atom
SG	I4/mmm, No. 139
theoretical density	13.56	g cm⁻³
Fermi-level density of states	3.47	states/eV per cell